Record 1
A relaxed structure of SmAl4CuAu2. Source: the Alexandria database, functional GGA-PBE.

abc: 4.349 4.349 9.166
angles: 76.28 76.28 60.00
Sites, in units of the cell vectors:
Al 0.869 0.869 0.393
Al 0.598 0.598 0.206
Sm 0.000 0.000 0.000
Au 0.239 0.239 0.282
Au 0.761 0.761 0.718
Al 0.402 0.402 0.794
Cu 0.500 0.500 0.500
Al 0.131 0.131 0.607

Symmetry: R-3m (166)
ΔH_f (0 K), eV/atom: -0.42



Record 2
A relaxed structure of CdRu2Se. Source: the Alexandria database, functional GGA-PBE.

abc: 2.944 2.944 8.107
angles: 90.00 90.00 90.00
Sites, in units of the cell vectors:
Cd 0.500 0.500 0.791
Ru 0.500 0.500 0.241
Ru 0.000 0.000 0.032
Se 0.000 0.000 0.436

Symmetry: P4mm (99)
Energy relative to the elements, uncorrected, eV/atom: 0.18
Distance to the lowest polymorph of the same formula, eV/atom: 0.000